Material: CoIr3Rh2
Method: DFT, PBE-GGA
State: relaxed

Cell: 4.8887 5.3264 7.1270 Å, 111.94 90.00 90.00°
Each line ends with the local moment (μB).
Fractional positions:
Ir: 0.2500 0.5728 0.6401  0.09
Ir: 0.2500 0.1503 0.3006  -0.03
Ir: 0.2500 0.0674 0.6401  0.09
Rh: 0.0000 0.2566 0.0000  0.12
Co: 0.2500 0.6516 0.3032  1.56
Rh: 0.5000 0.7434 0.0000  0.12
Co: 0.7500 0.3484 0.6968  1.56
Rh: 0.0000 0.7434 0.0000  0.12
Ir: 0.7500 0.9326 0.3599  0.09
Ir: 0.7500 0.4272 0.3599  0.09
Rh: 0.5000 0.2566 0.0000  0.12
Ir: 0.7500 0.8497 0.6994  -0.03

## Properties
* uncorrected energy: -93.64 eV/cell
* symmetry: No. 63
* energy of formation: 262 meV/atom